1.
18
Lattice="8.803 0.000 0.000 0.000 8.803 0.000 -4.401 -4.401 7.493" Properties=species:S:1:pos:R:3 comment="LaSmY2Tm5 | the Alexandria database | GGA-PBE | relaxed" delta_e_f_ev_per_atom=0.29 dos_at_fermi_per_ev_atom=1.21 m_tot_mub_per_cell=0.00 pbc="T T T"
La 0.000 0.000 3.747
La 4.401 4.401 3.747
Sm 0.000 4.401 3.747
Sm 4.401 0.000 3.747
Y 1.016 3.385 0.000
Y 5.417 1.016 0.000
Y 3.385 7.787 0.000
Y 7.787 5.417 0.000
Tm 6.994 2.593 2.000
Tm 2.593 -1.809 5.493
Tm -2.593 1.809 5.493
Tm -1.809 -2.593 5.493
Tm 1.809 2.593 5.493
Tm 6.210 6.994 2.000
Tm 2.593 1.809 2.000
Tm 1.809 6.210 2.000
Tm 4.401 4.401 0.000
Tm 0.000 0.000 0.000

=====

2.
4
Lattice="0.000 4.188 4.188 4.188 0.000 4.188 4.188 4.188 0.000" Properties=species:S:1:pos:R:3 comment="Cs2CaN | the Alexandria database | GGA-PBE | relaxed" formation_energy_uncorrected_ev_per_atom=1.227 dos_at_fermi_per_ev_atom=0.69 polymorph_energy_mev_per_atom=1005.8 m_tot_mub_per_cell=0.00 pbc="T T T"
Cs 2.094 2.094 2.094
Cs 6.282 6.282 6.282
Ca 4.188 4.188 4.188
N 0.000 0.000 0.000

=====

Number 1: ρ 7.50 g/cm3. Number 2: ρ 3.62 g/cm3.